Entry 1:
{
  "formula": "Pr3As3Pt2",
  "functional": "GGA-PBE",
  "state": "relaxed",
  "lattice": [[2.191, -5.545, 0.000], [2.191, 5.545, 0.000], [0.000, 0.000, 14.956]],
  "species": ["Pr", "Pr", "Pr", "Pr", "Pr", "Pr", "As", "As", "As", "As", "As", "As", "Pt", "Pt", "Pt", "Pt"],
  "fractional_positions": [[0.081, 0.919, 0.605], [0.081, 0.919, 0.895], [0.358, 0.642, 0.750], [0.642, 0.358, 0.250], [0.919, 0.081, 0.105], [0.919, 0.081, 0.395], [0.357, 0.643, 0.250], [0.371, 0.629, 0.546], [0.371, 0.629, 0.954], [0.629, 0.371, 0.046], [0.629, 0.371, 0.454], [0.643, 0.357, 0.750], [0.216, 0.784, 0.105], [0.216, 0.784, 0.395], [0.784, 0.216, 0.605], [0.784, 0.216, 0.895]],
  "dft_energy_ev_per_atom": -6.18,
  "sg": "Cmcm, No. 63"
}

Entry 2:
{
  "formula": "Pr2AsPt3",
  "functional": "GGA-PBE",
  "state": "relaxed",
  "lattice": [[3.930, 0.000, 0.000], [0.000, 4.399, 0.000], [0.000, 0.000, 7.785]],
  "species": ["Pr", "Pr", "As", "Pt", "Pt", "Pt"],
  "fractional_positions": [[0.000, 0.000, 0.000], [0.000, 0.500, 0.484], [0.500, 0.500, 0.814], [0.500, 0.000, 0.330], [0.500, 0.000, 0.675], [0.500, 0.500, 0.135]],
  "sg": "Pmm2, No. 25",
  "relative_energy_ev_per_atom": 0.023
}

Entry 3:
{
  "formula": "Pr3As4Pt4",
  "functional": "GGA-PBE",
  "state": "relaxed",
  "lattice": [[-2.121, 2.183, 12.651], [2.121, -2.183, 12.651], [2.121, 2.183, -12.651]],
  "species": ["Pr", "Pr", "Pr", "As", "As", "As", "As", "Pt", "Pt", "Pt", "Pt"],
  "fractional_positions": [[0.000, 0.000, 0.000], [0.349, 0.849, 0.500], [0.651, 0.151, 0.500], [0.193, 0.693, 0.500], [0.449, 0.449, 0.000], [0.551, 0.551, 0.000], [0.807, 0.307, 0.500], [0.095, 0.595, 0.500], [0.254, 0.254, 0.000], [0.746, 0.746, 0.000], [0.905, 0.405, 0.500]],
  "dft_energy_ev_per_atom": -6.22,
  "sg": "Immm, No. 71"
}